A plane-wave DFT calculation with PBE was carried out for a geometry-optimized Pr2HgIrC structure.

Cell: 5.3843 5.3843 3.8946 Å, 90.00 90.00 90.00°
Last column: nearest neighbours and their distance in Å.
Positions (direct):
1 Pr 0.0000 0.5000 0.0000  2 C 2.69
2 Pr 0.5000 0.0000 0.0000  2 C 2.69
3 Hg 0.0000 0.0000 0.5000  8 Pr 3.32
4 Ir 0.5000 0.5000 0.5000  2 C 1.95
5 C 0.5000 0.5000 0.0000  2 Ir 1.95

Values from the calculation:
The formation energy comes out at -10.5 kcal/mol of atoms. For the magnetic moment, the calculation gives 0.00 Bohr magnetons per cell. Its density of states at the Fermi level is 2.798 states/eV/cell.